Computed, not measured: a crystal of NiMo relaxed with PBEsol at the meta-GGA SCAN level of DFT.

The structure in CIF format:
```
data_NiMo
_chemical_formula_sum 'Ni1 Mo1'
_space_group_name_H-M_alt 'P 4/m m m'
_space_group_IT_number 123
_space_group_name_Hall '-P 4 2'
_cell_length_a 2.593
_cell_length_b 2.593
_cell_length_c 3.775
_cell_angle_alpha 90.00
_cell_angle_beta 90.00
_cell_angle_gamma 90.00
loop_
_atom_site_label
_atom_site_fract_x
_atom_site_fract_y
_atom_site_fract_z
Ni1 0.000 0.000 0.000
Mo1 0.500 0.500 0.500
```

Summary:
The formation energy is 0.0512 eV per atom. The calculation puts the calculated volume at 12.7 Å³ per atom. As for the density of states at the Fermi level: 0.91 states/eV/atom.